Entry 1:
Density functional theory data (GGA-PBEsol) for an optimized crystal structure of ErHfIr2.

## Properties
Symmetry: Fm-3m
Calculated formation energy (eV per atom): -0.85

Geometry as POSCAR:
```
ErHfIr2
1.0
0.000 3.288 3.288
3.288 0.000 3.288
3.288 3.288 0.000
Er Hf Ir
1 1 2
Direct
0.000 0.000 0.000 Er
0.500 0.500 0.500 Hf
0.250 0.250 0.250 Ir
0.750 0.750 0.750 Ir
```

***

Entry 2:
Density functional theory data (GGA-PBEsol) for an optimized crystal structure of ErHfRu2.

## Properties
Symmetry: Fm-3m
Calculated formation energy (eV per atom): -0.56

Geometry as POSCAR:
```
ErHfRu2
1.0
0.000 3.251 3.251
3.251 0.000 3.251
3.251 3.251 0.000
Er Hf Ru
1 1 2
Direct
0.000 0.000 0.000 Er
0.500 0.500 0.500 Hf
0.250 0.250 0.250 Ru
0.750 0.750 0.750 Ru
```

***

Entry 3:
Density functional theory data (GGA-PBEsol) for an optimized crystal structure of Er2HfS5.

## Properties
Symmetry: Pnma
Uncorrected formation energy (eV/f.u.): -15.6

Geometry as POSCAR:
```
Er2HfS5
1.0
11.318 0.000 0.000
0.000 7.579 0.000
0.000 0.000 7.107
Er Hf S
8 4 20
Direct
0.179 0.003 0.023 Er
0.179 0.497 0.023 Er
0.321 0.503 0.523 Er
0.321 0.997 0.523 Er
0.679 0.003 0.477 Er
0.679 0.497 0.477 Er
0.821 0.503 0.977 Er
0.821 0.997 0.977 Er
0.006 0.750 0.577 Hf
0.494 0.250 0.077 Hf
0.506 0.750 0.923 Hf
0.994 0.250 0.423 Hf
0.003 0.750 0.950 S
0.095 0.039 0.662 S
0.095 0.461 0.662 S
0.181 0.750 0.330 S
0.209 0.250 0.309 S
0.291 0.750 0.809 S
0.319 0.250 0.830 S
0.405 0.539 0.162 S
0.405 0.961 0.162 S
0.497 0.250 0.450 S
0.503 0.750 0.550 S
0.595 0.039 0.838 S
0.595 0.461 0.838 S
0.681 0.750 0.170 S
0.709 0.250 0.191 S
0.791 0.750 0.691 S
0.819 0.250 0.670 S
0.905 0.539 0.338 S
0.905 0.961 0.338 S
0.997 0.250 0.050 S
```

***

Entry 4:
Density functional theory data (GGA-PBEsol) for an optimized crystal structure of ErHg3.

## Properties
Symmetry: P6_3/mmc
Calculated formation energy (eV per atom): -0.44

Geometry as POSCAR:
```
ErHg3
1.0
6.479 0.000 0.000
-3.239 5.611 0.000
0.000 0.000 4.860
Er Hg
2 6
Direct
0.333 0.667 0.250 Er
0.667 0.333 0.750 Er
0.166 0.333 0.750 Hg
0.166 0.834 0.750 Hg
0.333 0.166 0.250 Hg
0.667 0.834 0.750 Hg
0.834 0.166 0.250 Hg
0.834 0.667 0.250 Hg
```

***

Entry 5:
Density functional theory data (GGA-PBEsol) for an optimized crystal structure of ErHg.

## Properties
Symmetry: Pm-3m
Calculated formation energy (eV per atom): -0.58

Geometry as POSCAR:
```
ErHg
1.0
3.622 0.000 0.000
0.000 3.622 0.000
0.000 0.000 3.622
Er Hg
1 1
Direct
0.000 0.000 0.000 Er
0.500 0.500 0.500 Hg
```

***

Entry 6:
Density functional theory data (GGA-PBEsol) for an optimized crystal structure of HoErHg2.

## Properties
Symmetry: Fm-3m
Calculated formation energy (eV per atom): -0.58

Geometry as POSCAR:
```
HoErHg2
1.0
0.000 3.630 3.630
3.630 0.000 3.630
3.630 3.630 0.000
Ho Er Hg
1 1 2
Direct
0.000 0.000 0.000 Ho
0.500 0.500 0.500 Er
0.250 0.250 0.250 Hg
0.750 0.750 0.750 Hg
```

***

Entry 7:
Density functional theory data (GGA-PBEsol) for an optimized crystal structure of Er2InHg.

## Properties
Symmetry: Fm-3m
Calculated formation energy (eV per atom): -0.53

Geometry as POSCAR:
```
Er2InHg
1.0
0.000 3.647 3.647
3.647 0.000 3.647
3.647 3.647 0.000
Er In Hg
2 1 1
Direct
0.250 0.250 0.250 Er
0.750 0.750 0.750 Er
0.000 0.000 0.000 In
0.500 0.500 0.500 Hg
```

***

Entry 8:
Density functional theory data (GGA-PBEsol) for an optimized crystal structure of LiErHg2.

## Properties
Symmetry: Fm-3m
Calculated formation energy (eV per atom): -0.52

Geometry as POSCAR:
```
LiErHg2
1.0
0.000 3.465 3.465
3.465 0.000 3.465
3.465 3.465 0.000
Li Er Hg
1 1 2
Direct
0.000 0.000 0.000 Li
0.500 0.500 0.500 Er
0.250 0.250 0.250 Hg
0.750 0.750 0.750 Hg
```

***

Q: Which formula does entry 5 have?
A: ErHg